VASP calculation (PBE) on crystalline NdPtRh at its relaxed geometry.

The energy above the most stable polymorph in this dataset is 8.32 kJ/mol of atoms. As for the energy of formation: -0.79 eV per atom. Its total energy is -6.842 eV/atom.

The space group is P-6m2 (No. 187) and the conventional cell measures 4.3850, 4.3850 and 3.9167 Å, with angles of 90.00, 90.00 and 120.00 degrees. The inequivalent atoms are Nd at (0.0000, 0.0000, 0.0000), Pt at (0.3333, 0.6667, 0.5000) and Rh at (0.6667, 0.3333, 0.5000).

***

VASP calculation (PBE) on crystalline K2TiCu2S4 at its relaxed geometry.

Its formation energy without anion corrections is -9.56 eV per formula unit. Its total energy is -4.928 eV/atom.

The space group is P4_2/mcm (No. 132) and the conventional cell measures 5.584, 5.584 and 12.953 Å, with angles of 90.00, 90.00 and 90.00 degrees. The inequivalent atoms are K at (0.242, 0.242, 0.000), Ti at (0.500, 0.500, 0.250), Cu at (0.000, 0.500, 0.250) and S at (0.261, 0.261, 0.350).

***

VASP calculation (PBE) on crystalline Sr4Th3InP8 at its relaxed geometry.

As for the energy of formation: -1.08 eV per atom. Its total energy is -5.771 eV/atom.

The space group is R-3m (No. 166, hexagonal axes) and the conventional cell measures 8.4288, 8.4288 and 21.2230 Å, with angles of 90.00, 90.00 and 120.00 degrees. The inequivalent atoms are Sr at (0.0000, 0.0000, 0.0000), Sr at (0.0000, 0.5000, 0.0000), Th at (0.0000, 0.5000, 0.5000), In at (0.0000, 0.0000, 0.5000), P at (0.0000, 0.0000, 0.2419) and P at (0.9999, 0.5000, 0.2419).

***

VASP calculation (PBE) on crystalline Rb2Tl15Bi2 at its relaxed geometry.

As for the energy of formation: -0.04 eV per atom. Its total energy is -2.415 eV/atom.

The space group is R-3m (No. 166, hexagonal axes) and the conventional cell measures 11.6301, 11.6301 and 17.0184 Å, with angles of 90.00, 90.00 and 120.00 degrees. The inequivalent atoms are Rb at (0.0000, 0.0000, 0.1604), Tl at (0.0000, 0.2926, 0.5000), Tl at (0.0000, 0.5000, 0.0000), Tl at (0.0030, 0.5015, 0.3465) and Bi at (0.0000, 0.0000, 0.4038).